Material: YTc2W
Method: DFT, PBE
State: optimized geometry

Properties
The formation enthalpy at 0 K comes out at 0.34 eV/atom. The value obtained for the volume is 138 Å³/cell. The calculation puts the raw total energy at -38.78 eV per formula unit.

```
8
Lattice="5.879 0.000 0.000 0.000 8.854 0.000 -1.044 0.000 2.656" Properties=species:S:1:pos:R:3 pbc="T T T"
Y 0.000 0.000 0.000
Y 2.940 4.427 0.000
Tc 0.948 2.214 1.328
Tc 0.948 6.641 1.328
Tc 3.887 2.214 1.328
Tc 3.887 6.641 1.328
W 0.000 4.427 0.000
W 2.940 0.000 0.000
```

---

Material: TaCoPt2
Method: DFT, PBE
State: optimized geometry

Properties
The formation enthalpy at 0 K comes out at -0.31 eV/atom. Its energy above the lowest structure with this stoichiometry is 289.9 meV per atom. The value obtained for the volume is 120 Å³/cell. The calculation puts the raw total energy at -32.26 eV per formula unit.

```
8
Lattice="9.124 0.000 0.000 0.000 2.841 0.000 -0.921 0.000 4.638" Properties=species:S:1:pos:R:3 pbc="T T T"
Ta 0.000 0.000 0.000
Ta 4.562 1.420 0.000
Co -0.461 1.420 2.319
Co 4.101 0.000 2.319
Pt 1.546 0.000 3.442
Pt 2.095 1.420 1.196
Pt 6.108 1.420 3.442
Pt 6.657 0.000 1.196
```

---

Material: BaNiGe2Rh
Method: DFT, PBE
State: optimized geometry

Properties
The formation enthalpy at 0 K comes out at -0.56 eV/atom. The value obtained for the volume is 214 Å³/cell. The calculation puts the raw total energy at -27.09 eV per formula unit.

```
10
Lattice="4.115 0.000 0.000 0.000 4.115 0.000 0.000 0.000 12.637" Properties=species:S:1:pos:R:3 pbc="T T T"
Ba 0.000 0.000 0.000
Ba 2.058 2.058 6.319
Ni 0.000 2.058 9.478
Ni 2.058 0.000 3.159
Ge 0.000 0.000 4.440
Ge 0.000 0.000 8.198
Ge 2.058 2.058 1.879
Ge 2.058 2.058 10.758
Rh 0.000 2.058 3.159
Rh 2.058 0.000 9.478
```

---

Material: AcAlSi2Au6
Method: DFT, PBE
State: optimized geometry

Properties
The uncorrected formation energy comes out at -0.15 eV/atom. The value obtained for the volume is 271 Å³/cell. The calculation puts the raw total energy at -39.90 eV per formula unit.

```
10
Lattice="3.370 1.946 6.881 -3.370 1.946 6.881 0.000 -3.891 6.881" Properties=species:S:1:pos:R:3 pbc="T T T"
Ac 0.000 0.000 0.000
Al 0.000 0.000 10.321
Si 0.000 0.000 5.858
Si 0.000 0.000 14.785
Au -1.537 -0.530 8.296
Au -0.310 -1.596 12.347
Au 1.227 -1.066 8.296
Au -1.227 1.066 12.347
Au 0.310 1.596 8.296
Au 1.537 0.530 12.347
```

---

Material: Rb4Zr3CuTe8
Method: DFT, PBE
State: optimized geometry

Properties
The uncorrected formation energy comes out at -0.82 eV/atom. The value obtained for the volume is 541 Å³/cell. The calculation puts the raw total energy at -71.92 eV per formula unit.

```
16
Lattice="7.432 -4.286 0.000 7.432 4.286 0.000 -4.954 0.000 8.498" Properties=species:S:1:pos:R:3 pbc="T T T"
Rb 0.000 0.000 0.000
Rb 3.716 2.143 0.000
Rb 3.716 -2.143 0.000
Rb 7.432 0.000 0.000
Zr -2.477 0.000 4.249
Zr 1.239 2.143 4.249
Zr 1.239 -2.143 4.249
Cu 4.955 0.000 4.249
Te -0.001 0.000 5.918
Te 3.731 2.116 5.819
Te 2.505 0.000 2.676
Te 6.178 2.116 2.679
Te 3.731 -2.116 5.819
Te 7.405 0.000 5.823
Te 6.178 -2.116 2.679
Te 9.911 0.000 2.580
```

---

Material: La5NdMg6
Method: DFT, PBE
State: optimized geometry

Properties
The formation enthalpy at 0 K comes out at -0.12 eV/atom. The value obtained for the volume is 370 Å³/cell. The calculation puts the raw total energy at -40.36 eV per formula unit.

```
12
Lattice="2.793 -8.378 0.000 2.793 8.378 0.000 0.000 0.000 7.914" Properties=species:S:1:pos:R:3 pbc="T T T"
La 0.000 0.000 0.000
La 2.793 2.819 0.000
La 2.793 2.790 3.957
La 2.793 -2.790 3.957
La 2.793 -2.819 0.000
Nd 0.000 0.000 3.957
Mg 2.793 5.609 2.003
Mg 2.793 5.609 5.911
Mg 2.793 0.000 2.002
Mg 2.793 0.000 5.911
Mg 2.793 -5.609 2.003
Mg 2.793 -5.609 5.911
```

---

Material: YGaFe
Method: DFT, PBE
State: optimized geometry

Properties
The formation enthalpy at 0 K comes out at -0.07 eV/atom. The value obtained for the volume is 233 Å³/cell. The calculation puts the raw total energy at -18.17 eV per formula unit.

```
12
Lattice="5.253 0.000 0.000 0.000 7.860 0.000 0.000 0.000 5.647" Properties=species:S:1:pos:R:3 pbc="T T T"
Y 0.000 1.182 1.412
Y 0.000 6.678 4.236
Y 2.627 2.748 4.236
Y 2.627 5.112 1.412
Ga 0.000 1.723 4.236
Ga 0.000 6.138 1.412
Ga 2.627 2.208 1.412
Ga 2.627 5.653 4.236
Fe 0.000 3.930 0.000
Fe 0.000 3.930 2.824
Fe 2.627 0.000 0.000
Fe 2.627 0.000 2.824
```

---

Material: Pm2PaP3Rh12
Method: DFT, PBE
State: optimized geometry

Properties
The formation enthalpy at 0 K comes out at -0.40 eV/atom. The value obtained for the volume is 325 Å³/cell. The calculation puts the raw total energy at -130.59 eV per formula unit.

```
18
Lattice="4.205 2.428 5.306 -4.205 2.428 5.306 0.000 -4.855 5.306" Properties=species:S:1:pos:R:3 pbc="T T T"
Pm 0.000 0.000 1.598
Pm 0.000 0.000 14.320
Pa 0.000 0.000 7.959
P -2.102 -1.214 5.306
P -2.102 1.214 10.612
P 0.000 2.428 5.306
Rh -2.217 -1.280 7.540
Rh 0.000 -2.050 4.927
Rh -1.775 1.025 4.927
Rh 0.000 -2.560 8.378
Rh -2.217 1.280 8.378
Rh -1.775 -1.025 10.991
Rh 1.775 1.025 4.927
Rh 2.217 -1.280 7.540
Rh 0.000 2.560 7.540
Rh 1.775 -1.025 10.991
Rh 0.000 2.050 10.991
Rh 2.217 1.280 8.378
```

---

Material: TiBPd3
Method: DFT, PBE
State: optimized geometry

Properties
The formation enthalpy at 0 K comes out at 1.37 eV/atom. Its energy above the lowest structure with this stoichiometry is 1527.2 meV per atom. The value obtained for the volume is 100 Å³/cell. The calculation puts the raw total energy at -23.31 eV per formula unit.

```
5
Lattice="4.647 0.000 0.000 0.000 4.647 0.000 0.000 0.000 4.647" Properties=species:S:1:pos:R:3 pbc="T T T"
Ti 0.000 0.000 0.000
B 2.323 2.323 2.323
Pd 0.000 0.000 2.323
Pd 0.000 2.323 0.000
Pd 2.323 0.000 0.000
```

---

Material: TiHgBi2
Method: DFT, PBE
State: optimized geometry

Properties
The formation enthalpy at 0 K comes out at 0.00 eV/atom. The value obtained for the volume is 110 Å³/cell. The calculation puts the raw total energy at -15.95 eV per formula unit.

```
4
Lattice="3.613 0.000 0.000 0.000 3.613 0.000 0.000 0.000 8.425" Properties=species:S:1:pos:R:3 pbc="T T T"
Ti 0.000 0.000 0.000
Hg 0.000 0.000 4.212
Bi 1.807 1.807 1.634
Bi 1.807 1.807 6.791
```

---

Material: MnCo2Sb
Method: DFT, PBE
State: optimized geometry

Properties
The uncorrected formation energy comes out at 0.20 eV/atom. The value obtained for the volume is 57 Å³/cell. The calculation puts the raw total energy at -26.71 eV per formula unit.

```
4
Lattice="2.986 0.000 0.000 0.000 3.672 0.000 0.000 0.000 5.179" Properties=species:S:1:pos:R:3 pbc="T T T"
Mn 0.000 0.000 0.000
Co 0.000 0.000 2.767
Co 1.493 1.836 4.174
Sb 1.493 1.836 1.599
```

---

Material: TeOsCl
Method: DFT, PBE
State: optimized geometry

Properties
The uncorrected formation energy comes out at 0.43 eV/atom. The value obtained for the volume is 134 Å³/cell. The calculation puts the raw total energy at -14.94 eV per formula unit.

```
6
Lattice="3.194 0.000 0.000 0.000 3.194 0.000 0.000 0.000 13.094" Properties=species:S:1:pos:R:3 pbc="T T T"
Te 0.000 0.000 0.000
Te 1.597 1.597 6.547
Os 0.000 0.000 5.079
Os 1.597 1.597 11.626
Cl 0.000 0.000 9.825
Cl 1.597 1.597 3.278
```

---

Material: Zn3BIr
Method: DFT, PBE
State: optimized geometry

Properties
The formation enthalpy at 0 K comes out at 1.13 eV/atom. Its energy above the lowest structure with this stoichiometry is 589.8 meV per atom. The value obtained for the volume is 110 Å³/cell. The calculation puts the raw total energy at -13.69 eV per formula unit.

```
5
Lattice="4.785 0.000 0.000 0.000 4.785 0.000 0.000 0.000 4.785" Properties=species:S:1:pos:R:3 pbc="T T T"
Zn 0.000 0.000 2.392
Zn 0.000 2.392 0.000
Zn 2.392 0.000 0.000
B 2.392 2.392 2.392
Ir 0.000 0.000 0.000
```

---

Material: TaSiRu2
Method: DFT, PBE
State: optimized geometry

Properties
The uncorrected formation energy comes out at -0.23 eV/atom. The value obtained for the volume is 58 Å³/cell. The calculation puts the raw total energy at -36.74 eV per formula unit.

```
4
Lattice="2.859 0.000 0.000 0.000 2.859 0.000 0.000 0.000 7.098" Properties=species:S:1:pos:R:3 pbc="T T T"
Ta 0.000 0.000 0.000
Si 1.430 1.430 5.260
Ru 0.000 0.000 3.843
Ru 1.430 1.430 2.024
```

---

Material: SmZn11Si
Method: DFT, PBE
State: optimized geometry

Properties
The uncorrected formation energy comes out at -0.13 eV/atom. The value obtained for the volume is 208 Å³/cell. The calculation puts the raw total energy at -25.78 eV per formula unit.

```
13
Lattice="2.617 -6.352 0.000 2.617 6.352 0.000 -2.548 0.000 6.261" Properties=species:S:1:pos:R:3 pbc="T T T"
Sm 0.000 0.000 0.000
Zn 0.030 2.266 2.224
Zn 1.309 3.176 0.000
Zn 2.656 -2.266 4.037
Zn 0.077 1.379 4.910
Zn 0.030 -2.266 2.224
Zn 2.609 1.379 1.351
Zn 1.309 -3.176 0.000
Zn 1.343 0.000 3.130
Zn 0.077 -1.379 4.910
Zn 2.656 2.266 4.037
Zn 2.609 -1.379 1.351
Si -1.274 0.000 3.130
```

---

Material: Zr2MnOsN
Method: DFT, PBE
State: optimized geometry

Properties
The uncorrected formation energy comes out at -0.67 eV/atom. The value obtained for the volume is 75 Å³/cell. The calculation puts the raw total energy at -49.16 eV per formula unit.

```
5
Lattice="4.565 0.000 0.000 0.000 4.565 0.000 0.000 0.000 3.588" Properties=species:S:1:pos:R:3 pbc="T T T"
Zr 0.000 2.283 0.000
Zr 2.283 0.000 0.000
Mn 0.000 0.000 1.794
Os 2.283 2.283 1.794
N 0.000 0.000 0.000
```

---

Material: Pr3YHo12
Method: DFT, PBE
State: optimized geometry

Properties
The formation enthalpy at 0 K comes out at 0.02 eV/atom. The value obtained for the volume is 512 Å³/cell. The calculation puts the raw total energy at -75.35 eV per formula unit.

```
16
Lattice="5.042 0.000 0.000 0.000 5.042 0.000 0.000 0.000 20.161" Properties=species:S:1:pos:R:3 pbc="T T T"
Pr 0.000 0.000 0.000
Pr 0.000 0.000 5.054
Pr 0.000 0.000 15.107
Y 0.000 0.000 10.080
Ho 0.000 2.521 2.532
Ho 0.000 2.521 7.591
Ho 0.000 2.521 12.570
Ho 0.000 2.521 17.629
Ho 2.521 0.000 2.532
Ho 2.521 0.000 7.591
Ho 2.521 0.000 12.570
Ho 2.521 0.000 17.629
Ho 2.521 2.521 0.000
Ho 2.521 2.521 5.068
Ho 2.521 2.521 10.080
Ho 2.521 2.521 15.093
```

---

Material: LaIrSF
Method: DFT, PBE
State: optimized geometry

Properties
The uncorrected formation energy comes out at -1.74 eV/atom. Its energy above the lowest structure with this stoichiometry is 49.0 meV per atom. The value obtained for the volume is 218 Å³/cell. The calculation puts the raw total energy at -26.73 eV per formula unit.

```
12
Lattice="4.054 0.000 0.000 -2.027 3.511 0.000 0.000 0.000 15.315" Properties=species:S:1:pos:R:3 pbc="T T T"
La 0.000 0.000 0.000
La 0.000 2.341 10.210
La 2.027 1.170 5.105
Ir 0.000 0.000 7.876
Ir 0.000 2.341 2.771
Ir 2.027 1.170 12.981
S 0.000 0.000 3.079
S 0.000 2.341 13.289
S 2.027 1.170 8.184
F 0.000 0.000 10.787
F 0.000 2.341 5.682
F 2.027 1.170 0.578
```

---

Material: ZrSc2Mo
Method: DFT, PBE
State: optimized geometry

Properties
The formation enthalpy at 0 K comes out at 0.26 eV/atom. Its energy above the lowest structure with this stoichiometry is 201.5 meV per atom. The value obtained for the volume is 326 Å³/cell. The calculation puts the raw total energy at -31.01 eV per formula unit.

```
16
Lattice="6.882 0.000 0.000 0.000 6.882 0.000 0.000 0.000 6.882" Properties=species:S:1:pos:R:3 pbc="T T T"
Zr 0.000 0.000 0.000
Zr 0.000 3.441 3.441
Zr 3.441 0.000 3.441
Zr 3.441 3.441 0.000
Sc 1.721 1.721 1.721
Sc 1.721 1.721 5.162
Sc 1.721 5.162 1.721
Sc 1.721 5.162 5.162
Sc 5.162 1.721 1.721
Sc 5.162 1.721 5.162
Sc 5.162 5.162 1.721
Sc 5.162 5.162 5.162
Mo 0.000 0.000 3.441
Mo 0.000 3.441 0.000
Mo 3.441 0.000 0.000
Mo 3.441 3.441 3.441
```

---

Material: Zn2CrCl
Method: DFT, PBE
State: optimized geometry

Properties
The uncorrected formation energy comes out at 0.28 eV/atom. Its energy above the lowest structure with this stoichiometry is 234.4 meV per atom. The value obtained for the volume is 141 Å³/cell. The calculation puts the raw total energy at -12.90 eV per formula unit.

```
8
Lattice="4.008 0.000 0.000 0.000 4.008 0.000 0.000 0.000 8.773" Properties=species:S:1:pos:R:3 pbc="T T T"
Zn 0.000 0.000 0.000
Zn 0.000 2.004 2.193
Zn 2.004 0.000 6.580
Zn 2.004 2.004 4.386
Cr 0.000 0.000 4.386
Cr 2.004 2.004 0.000
Cl 0.000 2.004 6.580
Cl 2.004 0.000 2.193
```

---

Material: LiTm2RuO6
Method: DFT, PBE
State: optimized geometry

Properties
The uncorrected formation energy comes out at -2.44 eV/atom. The value obtained for the volume is 126 Å³/cell. The calculation puts the raw total energy at -74.24 eV per formula unit.

```
10
Lattice="2.724 1.573 4.894 -2.724 1.573 4.894 0.000 -3.145 4.894" Properties=species:S:1:pos:R:3 pbc="T T T"
Li 0.000 0.000 0.000
Tm 0.000 0.000 3.843
Tm 0.000 0.000 11.262
Ru 0.000 0.000 6.816
O -1.554 0.073 5.515
O -0.975 -1.369 7.823
O 0.714 -1.383 5.515
O -0.698 1.529 7.823
O 0.841 1.309 5.515
O 1.673 -0.160 7.823
```

---

Material: Mg2TiO4
Method: DFT, PBE
State: optimized geometry

Properties
The uncorrected formation energy comes out at -2.88 eV/atom. Its energy above the lowest structure with this stoichiometry is 4.4 meV per atom. The value obtained for the volume is 619 Å³/cell. The calculation puts the raw total energy at -51.08 eV per formula unit.

```
56
Lattice="8.488 -6.037 0.000 8.488 6.037 0.000 -0.009 0.000 6.039" Properties=species:S:1:pos:R:3 pbc="T T T"
Mg 8.488 6.036 0.000
Mg 4.218 2.994 3.035
Mg 6.360 4.521 4.532
Mg 3.163 0.000 4.586
Mg 7.427 2.990 1.533
Mg 10.606 4.521 1.507
Mg 5.302 -0.009 1.482
Mg 9.539 2.990 4.506
Mg 6.358 -1.533 4.516
Mg 8.483 -0.020 3.019
Mg 12.748 2.994 3.004
Mg 11.664 -0.009 4.557
Mg 7.414 -3.045 1.548
Mg 10.607 -1.533 1.523
Mg 13.803 0.000 1.452
Mg 9.552 -3.045 4.490
Ti 10.606 -4.529 1.494
Ti 8.483 5.944 3.019
Ti 6.358 1.478 4.437
Ti 4.189 -2.954 6.021
Ti 10.608 1.478 1.601
Ti 8.488 -0.105 0.000
Ti 6.360 -4.529 4.545
Ti 12.777 -2.954 0.017
O 4.106 1.593 1.468
O 8.469 4.680 4.445
O 8.496 4.680 1.594
O 2.000 0.051 2.934
O 2.061 0.065 0.184
O 6.225 2.954 5.960
O 4.388 1.584 4.619
O 6.323 2.919 3.197
O 6.377 0.062 3.173
O 8.332 1.398 4.591
O 6.503 0.044 5.935
O 10.643 2.919 2.842
O 10.741 2.954 0.078
O 4.230 -1.698 1.421
O 4.251 -1.687 4.605
O 8.634 1.398 1.447
O 12.578 1.584 1.420
O 8.467 -1.362 4.604
O 10.463 0.044 0.103
O 8.499 -1.362 1.435
O 10.589 0.062 2.865
O 6.235 -3.117 5.939
O 12.860 1.593 4.571
O 6.317 -3.106 3.191
O 14.905 0.065 5.855
O 8.342 -4.641 4.468
O 14.966 0.051 3.105
O 10.649 -3.106 2.848
O 12.715 -1.687 1.433
O 10.730 -3.117 0.099
O 12.736 -1.698 4.618
O 8.624 -4.641 1.571
```